[1]
Compound: CoW3Se
Source: the Alexandria database
Functional: PBE
Structure: optimized geometry

Properties
The energy relative to the lowest polymorph listed for this composition is 440 meV/atom. The value obtained for the formation energy from raw total energies is 1.9814 eV per atom.

Lattice parameters (Å, degrees): 4.5491 4.5491 4.5491 90.00 90.00 90.00
With the nearest neighbours (Å) after each atom.
Space group Pm-3m (No. 221)
Symmetry-distinct sites (fractional):
Co 0.0000 0.0000 0.0000 (multiplicity 1)  12 W 3.22
W 0.0000 0.5000 0.5000 (multiplicity 3)  2 Se 2.27
Se 0.5000 0.5000 0.5000 (multiplicity 1)  6 W 2.27

***

[2]
Compound: CoWSe2
Source: the Alexandria database
Functional: PBE
Structure: optimized geometry

Properties
The energy relative to the lowest polymorph listed for this composition is 455 meV/atom. The value obtained for the formation energy from raw total energies is 0.3380 eV per atom.

Lattice parameters (Å, degrees): 5.5398 5.5398 10.5667 90.00 90.00 90.00
With the nearest neighbours (Å) after each atom.
Space group I-42d (No. 122)
Symmetry-distinct sites (fractional):
Co 0.0000 0.0000 0.0000 (multiplicity 4)  4 Se 2.29
W 0.0000 0.0000 0.5000 (multiplicity 4)  4 Se 2.44
Se 0.2265 0.2500 0.1250 (multiplicity 8)  2 Co 2.29, 2 W 2.44

***

[3]
Compound: Co3WSe
Source: the Alexandria database
Functional: PBE
Structure: optimized geometry

Properties
The energy relative to the lowest polymorph listed for this composition is 403 meV/atom. The value obtained for the formation energy from raw total energies is 1.5538 eV per atom.

Lattice parameters (Å, degrees): 4.4723 4.4723 4.4723 90.00 90.00 90.00
With the nearest neighbours (Å) after each atom.
Space group Pm-3m (No. 221)
Symmetry-distinct sites (fractional):
Co 0.0000 0.0000 0.5000 (multiplicity 3)  2 W 2.24
W 0.0000 0.0000 0.0000 (multiplicity 1)  6 Co 2.24
Se 0.5000 0.5000 0.5000 (multiplicity 1)  12 Co 3.16